[1]
Here is an optimized crystal structure of InCI2O from Alexandria. Energies are from PBE-GGA.

Computed properties:
- Theoretical density: 5.106 Mg/m³
- Formation energy from raw total energies: 0.7713 eV per atom
- M_tot: 0.03 μB per formula unit
- Excess energy over the best structure of this formula in the dataset: 0 meV per atom
- Energy: -3.2328 eV/atom

a b c (Å): 6.4065 6.4065 3.1427
angles (deg): 90.00 90.00 90.00
Fractional coordinates of all 5 atoms:
1 I 0.0000 0.5000 0.0000
2 I 0.5000 0.0000 0.0000
3 C 0.0000 0.0000 0.0000
4 O 0.0000 0.0000 0.5000
5 In 0.5000 0.5000 0.5000



[2]
Here is an optimized crystal structure of Cs8I6Cl from Alexandria. Energies are from PBE-GGA.

Computed properties:
- Theoretical density: 3.391 Mg/m³
- Formation energy from raw total energies: -1.3711 eV per atom
- M_tot: 0.00 μB per formula unit
- Energy: -2.5695 eV/atom

a b c (Å): 6.1360 13.0920 13.0920
angles (deg): 120.00 90.00 90.00
Fractional coordinates of all 15 atoms:
1 Cs 0.7359 0.9766 0.2683
2 Cs 0.7359 0.7317 0.7084
3 Cs 0.7359 0.2916 0.0234
4 Cs 0.2641 0.0234 0.7317
5 Cs 0.2641 0.2683 0.2916
6 Cs 0.2641 0.7084 0.9766
7 Cs 0.7495 0.3333 0.6667
8 Cs 0.2505 0.6667 0.3333
9 I 0.7584 0.6479 0.1127
10 I 0.7584 0.8873 0.5352
11 I 0.7584 0.4648 0.3521
12 I 0.2416 0.3521 0.8873
13 I 0.2416 0.1127 0.4648
14 I 0.2416 0.5352 0.6479
15 Cl 0.5000 0.0000 0.0000



[3]
Here is an optimized crystal structure of AcPmEr3 from Alexandria. Energies are from PBE-GGA.

Computed properties:
- Theoretical density: 8.474 Mg/m³
- M_tot: 0.00 μB per formula unit
- Energy: -4.4639 eV/atom
- Energy relative to the elements: 0.23 eV per formula unit

a b c (Å): 6.3876 9.4181 12.1656
angles (deg): 110.65 90.00 90.00
Fractional coordinates of all 20 atoms:
1 Ac 0.1741 0.9475 0.6018
2 Ac 0.6741 0.5525 0.8982
3 Ac 0.8259 0.0525 0.3982
4 Ac 0.3259 0.4475 0.1018
5 Pm 0.6652 0.7404 0.5013
6 Pm 0.3348 0.2596 0.4987
7 Pm 0.8348 0.2404 0.0013
8 Pm 0.1652 0.7596 0.9987
9 Er 0.8369 0.4527 0.5976
10 Er 0.6631 0.9527 0.0976
11 Er 0.3284 0.6465 0.7006
12 Er 0.8284 0.8535 0.7994
13 Er 0.6716 0.3535 0.2994
14 Er 0.1631 0.5473 0.4024
15 Er 0.1657 0.3462 0.7947
16 Er 0.8343 0.6538 0.2053
17 Er 0.3369 0.0473 0.9024
18 Er 0.1716 0.1465 0.2006
19 Er 0.3343 0.8462 0.2947
20 Er 0.6657 0.1538 0.7053



[4]
Here is an optimized crystal structure of CaVCu from Alexandria. Energies are from PBE-GGA.

Computed properties:
- Theoretical density: 4.283 Mg/m³
- M_tot: 0.00 μB per formula unit
- Excess energy over the best structure of this formula in the dataset: 95 meV per atom
- Energy: -4.7264 eV/atom
- Energy relative to the elements: 1.04 eV per formula unit

a b c (Å): 4.5612 8.2631 3.2503
angles (deg): 79.78 90.57 96.21
Fractional coordinates of all 6 atoms:
1 Ca 0.7653 0.7434 0.4623
2 Ca 0.9567 0.1905 0.7244
3 Cu 0.2906 0.8567 0.8968
4 Cu 0.4317 0.0774 0.2930
5 V 0.5101 0.4061 0.0084
6 V 0.2118 0.5277 0.1746



[5]
Here is an optimized crystal structure of InTc3P from Alexandria. Energies are from PBE-GGA.

Computed properties:
- Theoretical density: 5.844 Mg/m³
- M_tot: 8.82 μB per formula unit
- Excess energy over the best structure of this formula in the dataset: 2249 meV per atom
- Energy: -5.3178 eV/atom
- Energy relative to the elements: 12.66 eV per formula unit

a b c (Å): 4.9995 4.9995 4.9995
angles (deg): 90.00 90.00 90.00
Fractional coordinates of all 5 atoms:
1 P 0.5000 0.5000 0.5000
2 Tc 0.0000 0.5000 0.0000
3 Tc 0.0000 0.0000 0.5000
4 Tc 0.5000 0.0000 0.0000
5 In 0.0000 0.0000 0.0000



[6]
Here is an optimized crystal structure of SrInPb2 from Alexandria. Energies are from PBE-GGA.

Computed properties:
- Theoretical density: 8.172 Mg/m³
- M_tot: 0.00 μB per formula unit
- Energy: -3.2634 eV/atom
- Energy relative to the elements: -1.22 eV per formula unit

a b c (Å): 6.2059 6.2059 4.9458
angles (deg): 66.51 66.51 46.95
Fractional coordinates of all 4 atoms:
1 Pb 0.9999 0.9999 0.9999
2 Pb 0.5001 0.5001 0.5001
3 Sr 0.7500 0.7500 0.7500
4 In 0.2500 0.2500 0.2500



[7]
Here is an optimized crystal structure of La5Ce2Pr4 from Alexandria. Energies are from PBE-GGA.

Computed properties:
- Theoretical density: 6.539 Mg/m³
- M_tot: 1.02 μB per formula unit
- Energy: -4.9348 eV/atom
- Energy relative to the elements: 1.34 eV per formula unit

a b c (Å): 3.6999 11.9113 12.3842
angles (deg): 133.64 98.02 82.51
Fractional coordinates of all 11 atoms:
1 La 0.1613 0.0140 0.3671
2 La 0.8387 0.9860 0.6329
3 La 0.0190 0.3009 0.3329
4 La 0.5000 0.0000 0.0000
5 La 0.9810 0.6991 0.6671
6 Ce 0.6616 0.6292 0.1348
7 Ce 0.3384 0.3708 0.8652
8 Pr 0.3829 0.6022 0.3551
9 Pr 0.0640 0.7285 0.9775
10 Pr 0.6171 0.3978 0.6449
11 Pr 0.9360 0.2715 0.0225



[8]
Here is an optimized crystal structure of Zr3NbGa from Alexandria. Energies are from PBE-GGA.

Computed properties:
- Theoretical density: 5.893 Mg/m³
- M_tot: 1.38 μB per formula unit
- Energy: -6.9945 eV/atom
- Energy relative to the elements: 3.77 eV per formula unit

a b c (Å): 4.9725 4.9725 4.9725
angles (deg): 90.00 90.00 90.00
Fractional coordinates of all 5 atoms:
1 Nb 0.5000 0.5000 0.5000
2 Ga 0.0000 0.0000 0.0000
3 Zr 0.0000 0.5000 0.0000
4 Zr 0.0000 0.0000 0.5000
5 Zr 0.5000 0.0000 0.0000



[9]
Here is an optimized crystal structure of HoPuZn from Alexandria. Energies are from PBE-GGA.

Computed properties:
- Theoretical density: 10.998 Mg/m³
- M_tot: 5.81 μB per formula unit
- Excess energy over the best structure of this formula in the dataset: 0 meV per atom
- Energy: -6.8353 eV/atom
- Energy relative to the elements: -0.32 eV per formula unit

a b c (Å): 3.6277 4.9355 8.2036
angles (deg): 90.00 102.77 90.00
Fractional coordinates of all 6 atoms:
1 Ho 0.4240 0.2500 0.8481
2 Ho 0.5760 0.7500 0.1519
3 Zn 0.9150 0.7500 0.8301
4 Zn 0.0850 0.2500 0.1699
5 Pu 0.7393 0.2500 0.4786
6 Pu 0.2607 0.7500 0.5214



[10]
Here is an optimized crystal structure of Ce2NdSmBi5 from Alexandria. Energies are from PBE-GGA.

Computed properties:
- Theoretical density: 7.303 Mg/m³
- M_tot: 2.04 μB per formula unit
- Energy: -4.5942 eV/atom
- Energy relative to the elements: -0.59 eV per formula unit

a b c (Å): 5.5209 5.5209 12.0823
angles (deg): 90.00 90.00 90.00
Fractional coordinates of all 9 atoms:
1 Ce 0.5000 0.5000 0.2794
2 Ce 0.5000 0.5000 0.7206
3 Nd 0.0000 0.0000 0.0000
4 Sm 0.0000 0.0000 0.5000
5 Bi 0.0000 0.5000 0.5000
6 Bi 0.5000 0.0000 0.5000
7 Bi 0.0000 0.0000 0.7519
8 Bi 0.0000 0.0000 0.2481
9 Bi 0.5000 0.5000 0.0000



[11]
Here is an optimized crystal structure of Ce2PuBi2 from Alexandria. Energies are from PBE-GGA.

Computed properties:
- Theoretical density: 8.890 Mg/m³
- M_tot: 6.92 μB per formula unit
- Energy: -6.9497 eV/atom
- Energy relative to the elements: -0.79 eV per formula unit

a b c (Å): 4.3236 4.3236 10.8706
angles (deg): 90.00 90.00 120.00
Fractional coordinates of all 5 atoms:
1 Ce 0.0000 0.0000 0.6240
2 Ce 0.0000 0.0000 0.3760
3 Pu 0.0000 0.0000 0.0000
4 Bi 0.6667 0.3333 0.8120
5 Bi 0.3333 0.6667 0.1880



[12]
Here is an optimized crystal structure of MoIr2Br from Alexandria. Energies are from PBE-GGA.

Computed properties:
- Theoretical density: 13.746 Mg/m³
- Formation energy from raw total energies: 0.7541 eV per atom
- M_tot: 0.00 μB per formula unit
- Excess energy over the best structure of this formula in the dataset: 396 meV per atom
- Energy: -6.8024 eV/atom

a b c (Å): 2.8237 2.8237 9.7811
angles (deg): 90.00 90.00 119.79
Fractional coordinates of all 4 atoms:
1 Mo 0.0000 0.0000 0.4877
2 Ir 0.0000 0.0000 0.0241
3 Ir 0.5000 0.5000 0.2593
4 Br 0.5000 0.5000 0.7288



- Which formula does entry 9 have?
  HoPuZn



Please write out number 9 again, unchanged.
Here is an optimized crystal structure of HoPuZn from Alexandria. Energies are from PBE-GGA.

Computed properties:
- Theoretical density: 10.998 Mg/m³
- M_tot: 5.81 μB per formula unit
- Excess energy over the best structure of this formula in the dataset: 0 meV per atom
- Energy: -6.8353 eV/atom
- Energy relative to the elements: -0.32 eV per formula unit

a b c (Å): 3.6277 4.9355 8.2036
angles (deg): 90.00 102.77 90.00
Fractional coordinates of all 6 atoms:
1 Ho 0.4240 0.2500 0.8481
2 Ho 0.5760 0.7500 0.1519
3 Zn 0.9150 0.7500 0.8301
4 Zn 0.0850 0.2500 0.1699
5 Pu 0.7393 0.2500 0.4786
6 Pu 0.2607 0.7500 0.5214



- Which of these has the highest theoretical density?
  MoIr2Br



- theoretical density of number 11 (Ce2PuBi2)?
  8.890 Mg/m³